[1]
First-principles (GGA-PBE) data for Mn3AlSe after structural relaxation, as listed in Alexandria via LeMat-Bulk.

It has space group Pm-3m (No. 221), with a = 4.5661 Å, b = 4.5661 Å, c = 4.5661 Å, α = 90.00°, β = 90.00° and γ = 90.00°. The distinct sites, in fractional coordinates, are Mn at (0.0000, 0.0000, 0.5000), Al at (0.5000, 0.5000, 0.5000) and Se at (0.0000, 0.0000, 0.0000).

The energy relative to the elements, uncorrected comes out at 270 kJ/mol of formula units.


[2]
First-principles (GGA-PBE) data for V2GeI after structural relaxation, as listed in Alexandria via LeMat-Bulk.

It has space group Fm-3m (No. 225), with a = 6.4177 Å, b = 6.4177 Å, c = 6.4177 Å, α = 90.00°, β = 90.00° and γ = 90.00°. The distinct sites, in fractional coordinates, are V at (0.2500, 0.2500, 0.2500), Ge at (0.0000, 0.0000, 0.0000) and I at (0.0000, 0.0000, 0.5000).

The energy relative to the elements, uncorrected comes out at 183 kJ/mol of formula units.


[3]
First-principles (GGA-PBE) data for LiMoP2Cl after structural relaxation, as listed in Alexandria via LeMat-Bulk.

It has space group P4/mmm (No. 123), with a = 4.6242 Å, b = 4.6242 Å, c = 5.3072 Å, α = 90.00°, β = 90.00° and γ = 90.00°. The distinct sites, in fractional coordinates, are Li at (0.0000, 0.0000, 0.0000), Mo at (0.5000, 0.5000, 0.5000), P at (0.0000, 0.5000, 0.5000) and Cl at (0.5000, 0.5000, 0.0000).

The energy relative to the elements, uncorrected comes out at -38 kJ/mol of formula units.


| no. | total magnetic moment (Bohr magnetons per cell) |
| --- | --- |
| 1 | 10.07 |
| 2 | 5.71 |
| 3 | 0.00 |